[1]
Material: RbCeRhO4
Method: DFT, PBE
State: relaxed

Lattice parameters (Å, degrees): 6.7627 6.7627 6.7627 119.82 113.33 96.12
Closest atoms and distances in Å follow each position.
Fractional coordinates of all 14 atoms:
Rb: 0.3922 0.1422 0.2500  4 O 2.51-2.63
Rb: 0.6078 0.8578 0.7500  4 O 2.51-2.63
Ce: 0.0000 0.5000 0.5000  6 O 2.30
Ce: 0.5000 0.5000 0.0000  6 O 2.30
Rh: 0.0000 0.0000 0.5000  6 O 2.12
Rh: 0.0000 0.5000 0.0000  6 O 2.12
O: 0.1688 0.7465 0.4223  2 Rh 2.12, 1 Ce 2.30
O: 0.1758 0.2535 0.9223  2 Rh 2.12, 1 Ce 2.30
O: 0.2316 0.2840 0.5524  1 Rh 2.12, 2 Ce 2.30
O: 0.2316 0.6792 0.9476  1 Rh 2.12, 2 Ce 2.30
O: 0.7684 0.3208 0.0524  1 Rh 2.12, 2 Ce 2.30
O: 0.7684 0.7160 0.4476  1 Rh 2.12, 2 Ce 2.30
O: 0.8242 0.7465 0.0777  2 Rh 2.12, 1 Ce 2.30
O: 0.8312 0.2535 0.5777  2 Rh 2.12, 1 Ce 2.30

Results
Spin magnetization (μB per formula unit): 0.1
Raw formation energy (eV per atom): -1.896

=====

[2]
Material: RbOsRh
Method: DFT, PBE
State: relaxed

Lattice parameters (Å, degrees): 5.0446 4.2062 7.4956 90.00 90.94 90.00
Closest atoms and distances in Å follow each position.
Fractional coordinates of all 6 atoms:
Rb: 0.2497 0.2500 0.1224  3 Rh 3.47-3.60, 3 Os 3.50-3.51, 4 Rb 3.74-3.78
Rb: 0.7503 0.7500 0.8776  3 Rh 3.47-3.60, 3 Os 3.50-3.51, 4 Rb 3.74-3.78
Os: 0.1195 0.7500 0.4840  2 Os 2.44, 4 Rh 2.54-2.64
Os: 0.8805 0.2500 0.5160  2 Os 2.44, 4 Rh 2.54-2.64
Rh: 0.3929 0.2500 0.5942  4 Os 2.54-2.64, 2 Rh 2.76
Rh: 0.6071 0.7500 0.4058  4 Os 2.54-2.64, 2 Rh 2.76

Results
Polymorph energy (0 for the lowest one) (eV per atom): 0.091
Spin magnetization (μB per formula unit): 0.0
ΔH_f (0 K) (eV per atom): 0.569

=====

[3]
Material: TcCNO2
Method: DFT, PBE
State: relaxed

Lattice parameters (Å, degrees): 3.7820 3.7820 3.9738 90.00 90.00 90.00
Closest atoms and distances in Å follow each position.
Fractional coordinates of all 5 atoms:
Tc: 0.0000 0.0000 0.0000  4 O 1.89, 2 N 1.99
C: 0.5000 0.5000 0.5000  4 N 2.67, 8 O 2.74
N: 0.0000 0.0000 0.5000  2 Tc 1.99
O: 0.0000 0.5000 0.0000  2 Tc 1.89
O: 0.5000 0.0000 0.0000  2 Tc 1.89

Results
Spin magnetization (μB per formula unit): 1.1
Raw formation energy (eV per atom): 1.096

=====

[4]
Material: CaTb3Pb5
Method: DFT, PBE
State: relaxed

Lattice parameters (Å, degrees): 9.5796 9.5796 6.6226 90.00 90.00 120.00
Closest atoms and distances in Å follow each position.
Fractional coordinates of all 18 atoms:
Ca: 0.0000 0.0000 0.0000  6 Pb 3.27, 2 Ca 3.31
Ca: 0.0000 0.0000 0.5000  6 Pb 3.27, 2 Ca 3.31
Tb: 0.0000 0.3780 0.2500  9 Pb 3.13-3.43
Tb: 0.0000 0.6220 0.7500  9 Pb 3.13-3.43
Tb: 0.3780 0.0000 0.2500  9 Pb 3.13-3.43
Tb: 0.3780 0.3780 0.7500  9 Pb 3.13-3.43
Tb: 0.6220 0.0000 0.7500  9 Pb 3.13-3.43
Tb: 0.6220 0.6220 0.2500  9 Pb 3.13-3.43
Pb: 0.0000 0.2950 0.7500  5 Tb 3.13-3.41, 2 Ca 3.27
Pb: 0.0000 0.7050 0.2500  5 Tb 3.13-3.41, 2 Ca 3.27
Pb: 0.2950 0.0000 0.7500  5 Tb 3.13-3.41, 2 Ca 3.27
Pb: 0.2950 0.2950 0.2500  5 Tb 3.13-3.41, 2 Ca 3.27
Pb: 0.3333 0.6667 0.0000  2 Pb 3.31, 6 Tb 3.43
Pb: 0.3333 0.6667 0.5000  2 Pb 3.31, 6 Tb 3.43
Pb: 0.6667 0.3333 0.0000  2 Pb 3.31, 6 Tb 3.43
Pb: 0.6667 0.3333 0.5000  2 Pb 3.31, 6 Tb 3.43
Pb: 0.7050 0.0000 0.2500  5 Tb 3.13-3.41, 2 Ca 3.27
Pb: 0.7050 0.7050 0.7500  5 Tb 3.13-3.41, 2 Ca 3.27

Results
Spin magnetization (μB per formula unit): 0.0
ΔH_f (0 K) (eV per atom): -0.396

=====

[5]
Material: RbScSe3
Method: DFT, PBE
State: relaxed

Lattice parameters (Å, degrees): 5.2905 5.2905 5.2905 90.00 90.00 90.00
Closest atoms and distances in Å follow each position.
Fractional coordinates of all 5 atoms:
Rb: 0.0000 0.0000 0.0000  12 Se 3.74
Sc: 0.5000 0.5000 0.5000  6 Se 2.65
Se: 0.0000 0.5000 0.5000  2 Sc 2.65
Se: 0.5000 0.0000 0.5000  2 Sc 2.65
Se: 0.5000 0.5000 0.0000  2 Sc 2.65

Results
Polymorph energy (0 for the lowest one) (eV per atom): 0.000
Spin magnetization (μB per formula unit): 0.0
Raw formation energy (eV per atom): -1.025

=====

[6]
Material: MnBeNb2
Method: DFT, PBE
State: relaxed

Lattice parameters (Å, degrees): 5.4594 5.4594 5.4594 103.75 103.75 121.65
Closest atoms and distances in Å follow each position.
Fractional coordinates of all 8 atoms:
Mn: 0.0000 0.0000 0.0000  4 Nb 2.40, 2 Be 2.66
Mn: 0.7500 0.2500 0.5000  4 Nb 2.40, 2 Be 2.66
Be: 0.2500 0.7500 0.5000  4 Nb 2.55, 2 Mn 2.66
Be: 0.5000 0.5000 0.0000  4 Nb 2.55, 2 Mn 2.66
Nb: 0.1080 0.6250 0.9830  2 Mn 2.40, 2 Be 2.55, 2 Nb 2.67
Nb: 0.3750 0.3580 0.4830  2 Mn 2.40, 2 Be 2.55, 2 Nb 2.67
Nb: 0.6420 0.1250 0.0170  2 Mn 2.40, 2 Be 2.55, 2 Nb 2.67
Nb: 0.8750 0.8920 0.5170  2 Mn 2.40, 2 Be 2.55, 2 Nb 2.67

Results
Spin magnetization (μB per formula unit): 0.0
ΔH_f (0 K) (eV per atom): 0.508